Lu2CdMo: relaxed, PBE-GGA.

Cell lengths 4.4346, 4.4346, 4.4346 Å; angles 60.00, 60.00, 60.00 degrees
Sites, in units of the cell vectors:
Cd (0.5000, 0.5000, 0.5000)
Lu (0.0000, 0.0000, 0.0000)
Lu (0.7500, 0.7500, 0.7500)
Mo (0.2500, 0.2500, 0.2500)

Summary:
- ΔH_f (0 K): 1.1607 eV per atom
- E: -16.148 eV/cell
- Symmetry: F-43m (216)